# 1
Here is SrCdGePb after structural relaxation from Alexandria via LeMat-Bulk. Energies are from GGA-PBE.

a = 5.440 Å, b = 5.440 Å, c = 5.440 Å
α = 60.00°, β = 60.00°, γ = 60.00°
Element x y z (fractional)
Pb 0.500 0.500 0.500
Sr 0.000 0.000 0.000
Ge 0.250 0.250 0.250
Cd 0.750 0.750 0.750

Energy of formation (meV per atom): -189
Calculated total energy (eV for the cell shown): -11.677
Symmetry: No. 216
DOS(E_F) (states/eV per cell): 1.1
Crystal system: cubic

# 2
Here is KTi after structural relaxation from Alexandria via LeMat-Bulk. Energies are from GGA-PBE.

a = 6.821 Å, b = 16.489 Å, c = 10.747 Å
α = 90.00°, β = 90.00°, γ = 90.00°
Element x y z (fractional)
K 0.000 0.000 0.662
K 0.000 0.000 0.338
K 0.250 0.750 0.588
K 0.250 0.750 0.912
K 0.000 0.500 0.162
K 0.000 0.500 0.838
K 0.250 0.250 0.088
K 0.250 0.250 0.412
K 0.500 0.000 0.162
K 0.500 0.000 0.838
K 0.750 0.750 0.088
K 0.750 0.750 0.412
K 0.500 0.500 0.662
K 0.500 0.500 0.338
K 0.750 0.250 0.588
K 0.750 0.250 0.912
Ti 0.000 0.063 0.000
Ti 0.000 0.937 0.000
Ti 0.250 0.687 0.250
Ti 0.250 0.813 0.250
Ti 0.000 0.563 0.500
Ti 0.000 0.437 0.500
Ti 0.250 0.187 0.750
Ti 0.250 0.313 0.750
Ti 0.500 0.063 0.500
Ti 0.500 0.937 0.500
Ti 0.750 0.687 0.750
Ti 0.750 0.813 0.750
Ti 0.500 0.563 0.000
Ti 0.500 0.437 0.000
Ti 0.750 0.187 0.250
Ti 0.750 0.313 0.250

Energy of formation (meV per atom): 1219
Calculated total energy (eV for the cell shown): -104.882
Symmetry: No. 70
DOS(E_F) (states/eV per cell): 44.0
Crystal system: orthorhombic
Distance to the lowest polymorph of the same formula (meV/atom): 532

# 3
Here is CsAs2WAu after structural relaxation from Alexandria via LeMat-Bulk. Energies are from GGA-PBE.

a = 4.939 Å, b = 5.476 Å, c = 4.939 Å
α = 90.00°, β = 90.00°, γ = 90.00°
Element x y z (fractional)
Cs 0.500 0.500 0.500
As 0.000 0.000 0.500
As 0.500 0.000 0.000
Au 0.000 0.500 0.000
W 0.000 0.000 0.000

Energy of formation (meV per atom): 79
Calculated total energy (eV for the cell shown): -25.987
Symmetry: No. 123
DOS(E_F) (states/eV per cell): 2.9
Crystal system: tetragonal